# CeMg3Pt3

A geometry-optimized CeMg3Pt3 structure (PBE, Alexandria).

Computed properties:
SG   Pm-3n (223)
E_form   -0.17 eV/atom
Crystal system   cubic

Cell: 7.0399 7.0399 7.0399 Å, 90.00 90.00 90.00°
Each line ends with the local moment (μB).
Element x y z (fractional)
Ce 0.5000 0.5000 0.5000  1.21
Ce 0.0000 0.0000 0.0000  1.21
Pt 0.2500 0.5000 0.0000  -0.01
Pt 0.0000 0.2500 0.5000  -0.01
Pt 0.5000 0.0000 0.2500  -0.01
Pt 0.0000 0.7500 0.5000  -0.01
Pt 0.5000 0.0000 0.7500  -0.01
Pt 0.7500 0.5000 0.0000  -0.01
Mg 0.7500 0.0000 0.5000  0.00
Mg 0.5000 0.2500 0.0000  0.00
Mg 0.0000 0.5000 0.2500  0.00
Mg 0.2500 0.0000 0.5000  0.00
Mg 0.0000 0.5000 0.7500  0.00
Mg 0.5000 0.7500 0.0000  0.00



# CeMgPt2

A geometry-optimized CeMgPt2 structure (PBE, Alexandria).

Computed properties:
SG   P4/mmm (123)
E_form   -0.92 eV/atom
Crystal system   tetragonal

Cell: 3.3817 3.3817 6.7752 Å, 90.00 90.00 90.00°
Each line ends with the local moment (μB).
Element x y z (fractional)
Ce 0.5000 0.5000 0.5000  0.12
Pt 0.0000 0.0000 0.7779  0.00
Pt 0.0000 0.0000 0.2221  0.00
Mg 0.5000 0.5000 0.0000  0.00



# CeMgPt

A geometry-optimized CeMgPt structure (PBE, Alexandria).

Computed properties:
SG   I4/mmm (139)
E_form   -0.77 eV/atom
Polymorph energy (0 for the lowest one)   83 meV per atom
Crystal system   tetragonal

Cell: 4.1880 4.1880 8.2904 Å, 104.63 104.63 89.99°
Each line ends with the local moment (μB).
Element x y z (fractional)
Mg 0.5000 0.0000 0.0000  0.01
Mg 0.0000 0.5000 0.0000  0.01
Pt 0.8674 0.8674 0.7348  -0.01
Pt 0.1326 0.1326 0.2652  -0.01
Ce 0.3248 0.3248 0.6497  0.71
Ce 0.6752 0.6752 0.3503  0.71



# Ce2MgPt

A geometry-optimized Ce2MgPt structure (PBE, Alexandria).

Computed properties:
SG   P4/mmm (123)
E_form   -0.50 eV/atom
Polymorph energy (0 for the lowest one)   0 meV per atom
Crystal system   tetragonal

Cell: 3.8192 3.8192 6.7656 Å, 90.00 90.00 90.00°
Each line ends with the local moment (μB).
Element x y z (fractional)
Ce 0.0000 0.0000 0.2111  0.52
Ce 0.0000 0.0000 0.7889  0.52
Pt 0.5000 0.5000 0.0000  -0.02
Mg 0.5000 0.5000 0.5000  0.00



# Ce2MgPt9

A geometry-optimized Ce2MgPt9 structure (PBE, Alexandria).

Computed properties:
SG   P4/mmm (123)
E_form   -0.86 eV/atom
Polymorph energy (0 for the lowest one)   0 meV per atom
Crystal system   tetragonal

Cell: 4.1178 4.1178 12.2370 Å, 90.00 90.00 90.00°
Element x y z (fractional)
Pt 0.5000 0.5000 0.6715
Pt 0.0000 0.5000 0.1574
Pt 0.0000 0.5000 0.5000
Pt 0.0000 0.5000 0.8426
Pt 0.5000 0.0000 0.8426
Pt 0.5000 0.5000 0.0000
Pt 0.5000 0.0000 0.1574
Pt 0.5000 0.0000 0.5000
Pt 0.5000 0.5000 0.3285
Ce 0.0000 0.0000 0.3255
Ce 0.0000 0.0000 0.6745
Mg 0.0000 0.0000 0.0000



# CeMg5Pt2

A geometry-optimized CeMg5Pt2 structure (PBE, Alexandria).

Computed properties:
SG   Immm (71)
E_form   -0.60 eV/atom
Crystal system   orthorhombic

Cell: 4.1466 6.8051 6.8051 Å, 75.75 72.26 72.26°
Each line ends with the local moment (μB).
Element x y z (fractional)
Pt 0.7234 0.7766 0.7766  -0.01
Pt 0.2766 0.2234 0.2234  -0.01
Mg 0.0000 0.5000 0.5000  0.00
Mg 0.6621 0.5210 0.1547  0.00
Mg 0.6621 0.1547 0.5210  0.00
Mg 0.3379 0.8453 0.4790  0.00
Mg 0.3379 0.4790 0.8453  0.00
Ce 0.0000 0.0000 0.0000  0.69



# Ce3MgPt8

A geometry-optimized Ce3MgPt8 structure (PBE, Alexandria).

Computed properties:
SG   R3m (160)
E_form   -0.98 eV/atom
Crystal system   trigonal

Cell: 5.4452 5.4452 9.4318 Å, 73.22 73.22 60.00°
Each line ends with the local moment (μB).
Element x y z (fractional)
Ce 0.9953 0.9953 0.0141  0.56
Ce 0.3767 0.3767 0.8698  0.67
Ce 0.5034 0.5034 0.4898  0.41
Pt 0.6880 0.6880 0.9359  -0.03
Pt 0.9380 0.9380 0.6847  -0.03
Pt 0.9386 0.4368 0.1879  -0.03
Pt 0.1883 0.1883 0.4352  -0.03
Pt 0.4393 0.9380 0.6847  -0.03
Pt 0.9380 0.4393 0.6847  -0.03
Pt 0.4368 0.4368 0.1879  -0.03
Pt 0.4368 0.9386 0.1879  -0.03
Mg 0.8709 0.8709 0.3873  0.00



# CeMg11Pt

A geometry-optimized CeMg11Pt structure (PBE, Alexandria).

Computed properties:
SG   C2/m (12)
E_form   -0.18 eV/atom
Crystal system   monoclinic

Cell: 5.6208 7.6691 7.7363 Å, 82.74 68.70 69.64°
Each line ends with the local moment (μB).
Element x y z (fractional)
Pt 0.5000 0.5000 0.0000  -0.01
Mg 0.5000 0.0000 0.5000  0.00
Mg 0.5060 0.2203 0.7960  0.00
Mg 0.3594 0.6383 0.6641  0.00
Mg 0.3019 0.2203 0.2040  0.00
Mg 0.0000 0.5000 0.0000  0.00
Mg 0.6981 0.7797 0.7960  0.00
Mg 0.6406 0.3617 0.3359  0.00
Mg 0.0000 0.0000 0.5000  0.00
Mg 0.4940 0.7797 0.2040  0.00
Mg 0.0236 0.6383 0.3359  0.00
Mg 0.9764 0.3617 0.6641  0.00
Ce 0.0000 0.0000 0.0000  0.96



# CeMg2Pt2

A geometry-optimized CeMg2Pt2 structure (PBE, Alexandria).

Computed properties:
SG   P2_1/m (11)
E_form   -0.81 eV/atom
Polymorph energy (0 for the lowest one)   24 meV per atom
Crystal system   monoclinic

Cell: 4.7114 5.3730 8.2866 Å, 97.85 90.00 90.00°
Each line ends with the local moment (μB).
Element x y z (fractional)
Pt 0.2500 0.8845 0.5511  -0.01
Pt 0.7500 0.6707 0.9634  -0.02
Pt 0.7500 0.1155 0.4489  -0.01
Pt 0.2500 0.3293 0.0366  -0.02
Ce 0.2500 0.8661 0.1907  0.56
Ce 0.7500 0.1339 0.8093  0.56
Mg 0.2500 0.3648 0.4451  0.00
Mg 0.7500 0.6352 0.5549  0.00
Mg 0.7500 0.3551 0.1957  0.00
Mg 0.2500 0.6449 0.8043  0.00



# Ce2Mg3Pt4

A geometry-optimized Ce2Mg3Pt4 structure (PBE, Alexandria).

Computed properties:
SG   Cmce (64)
E_form   -0.87 eV/atom
Crystal system   orthorhombic

Cell: 5.7824 7.3961 8.9035 Å, 90.00 108.95 90.00°
Each line ends with the local moment (μB).
Element x y z (fractional)
Pt 0.3200 0.2500 0.1399  -0.01
Pt 0.1800 0.7500 0.8601  -0.01
Pt 0.1648 0.9599 0.3295  -0.01
Pt 0.6648 0.5401 0.3295  -0.01
Pt 0.8352 0.0401 0.6705  -0.01
Pt 0.3352 0.4599 0.6705  -0.01
Pt 0.6800 0.7500 0.8601  -0.01
Pt 0.8200 0.2500 0.1399  -0.01
Ce 0.8979 0.4119 0.7957  0.49
Ce 0.1021 0.5881 0.2043  0.49
Ce 0.6021 0.9119 0.2043  0.49
Ce 0.3979 0.0881 0.7957  0.49
Mg 0.4815 0.2500 0.4630  0.00
Mg 0.5000 0.5000 0.0000  0.00
Mg 0.9815 0.2500 0.4630  0.00
Mg 0.5185 0.7500 0.5370  0.00
Mg 0.0000 0.0000 0.0000  0.00
Mg 0.0185 0.7500 0.5370  0.00



# CeMgPt6

A geometry-optimized CeMgPt6 structure (PBE, Alexandria).

Computed properties:
SG   P4/mmm (123)
E_form   -0.80 eV/atom
Crystal system   tetragonal

Cell: 4.0913 4.0913 8.0655 Å, 90.00 90.00 90.00°
Element x y z (fractional)
Pt 0.0000 0.5000 0.2611
Pt 0.0000 0.5000 0.7389
Pt 0.5000 0.5000 0.0000
Pt 0.5000 0.0000 0.7389
Pt 0.5000 0.0000 0.2611
Pt 0.5000 0.5000 0.5000
Ce 0.0000 0.0000 0.0000
Mg 0.0000 0.0000 0.5000



# CeMg4Pt2

A geometry-optimized CeMg4Pt2 structure (PBE, Alexandria).

Computed properties:
SG   P4_2/mnm (136)
E_form   -0.66 eV/atom
Crystal system   tetragonal

Cell: 4.5397 8.0049 8.0049 Å, 90.00 90.00 90.00°
Each line ends with the local moment (μB).
Element x y z (fractional)
Mg 0.5000 0.8353 0.4144  0.00
Mg 0.5000 0.5856 0.1647  0.00
Mg 0.5000 0.1647 0.5856  0.00
Mg 0.5000 0.4144 0.8353  0.00
Mg 0.0000 0.0856 0.3353  0.00
Mg 0.0000 0.6647 0.9144  0.00
Mg 0.0000 0.3353 0.0856  0.00
Mg 0.0000 0.9144 0.6647  0.00
Ce 0.5000 0.0000 0.0000  0.82
Ce 0.0000 0.5000 0.5000  0.82
Pt 0.0000 0.7603 0.2397  -0.01
Pt 0.0000 0.2397 0.7603  -0.01
Pt 0.5000 0.2603 0.2603  -0.01
Pt 0.5000 0.7397 0.7397  -0.01